Here is crystalline NdYNiRh at its relaxed geometry from Alexandria. Energies are from PBE-GGA.

Cell: 4.9167 4.9167 4.9167 Å, 60.00 60.00 60.00°
Positions (direct):
Y1 0.7500 0.7500 0.7500
Rh1 0.5000 0.5000 0.5000
Nd1 0.2500 0.2500 0.2500
Ni1 0.0000 0.0000 0.0000

Values from the calculation:
- Density: 7.80 g cm⁻³
- Calculated total energy: -26.40 eV/cell
- Offset from the most stable computed form: 59 meV per atom
- SG: F-43m
- Energy relative to the elements: -509 meV per atom
- Magnetic moment: 0.000 μB per cell